GdThZr2 | PBE | relaxed

## Properties
The calculation puts the energy above the most stable polymorph in this dataset at 4.2 meV/atom. The total energy comes out at -9.529 eV per atom. As for the energy relative to the elements: 0.12 eV per atom.

a b c (Å): 4.7565 4.7565 4.7866
angles (deg): 90.00 90.00 90.00
Last column: nearest neighbours and their distance in Å.
Space group P4/mmm (No. 123)
Symmetry-distinct sites (fractional):
Gd 0.0000 0.0000 0.0000  4 Th 3.36, 8 Zr 3.37
Th 0.5000 0.5000 0.0000  4 Gd 3.36, 8 Zr 3.37
Zr 0.0000 0.5000 0.5000  4 Zr 3.36, 4 Th 3.37, 4 Gd 3.37


Dy3GeTe6 | PBE | relaxed

## Properties
The total energy comes out at -4.731 eV per atom. Its formation energy (no corrections) is -1003.7 meV/atom.

a b c (Å): 12.0588 14.9537 7.3276
angles (deg): 90.00 90.00 90.00
Last column: nearest neighbours and their distance in Å.
Space group Cmc2_1 (No. 36)
Symmetry-distinct sites (fractional):
Dy 0.0000 0.0934 0.0000  7 Te 3.07-3.37
Dy 0.1822 0.4030 0.8919  7 Te 3.05-3.28
Ge 0.0000 0.2979 0.3527  4 Te 2.73-2.82
Te 0.0000 0.2778 0.7353  1 Ge 2.82, 2 Dy 3.11
Te 0.0000 0.4668 0.1938  1 Ge 2.78
Te 0.1635 0.0379 0.6988  4 Dy 3.05-3.14
Te 0.1740 0.2301 0.1589  1 Ge 2.73


LiTa2Rh | PBE | relaxed

## Properties
The total energy comes out at -8.151 eV per atom. As for the energy relative to the elements: 0.09 eV per atom.

a b c (Å): 3.7534 4.1329 8.8860
angles (deg): 90.00 90.00 90.00
Last column: nearest neighbours and their distance in Å.
Space group Cmmm (No. 65)
Symmetry-distinct sites (fractional):
Li 0.0000 0.0000 0.0000  4 Li 2.79, 4 Ta 3.10
Ta 0.0000 0.5000 0.2779  4 Rh 2.72-2.86, 4 Ta 2.79
Rh 0.0000 0.0000 0.5000  8 Ta 2.72-2.86, 4 Rh 2.79


LiVGe | PBE | relaxed

## Properties
The total energy comes out at -5.129 eV per atom. As for the energy relative to the elements: 0.09 eV per atom.

a b c (Å): 3.3058 3.3058 8.3949
angles (deg): 90.00 90.00 90.00
Last column: nearest neighbours and their distance in Å.
Space group I4mm (No. 107)
Symmetry-distinct sites (fractional):
Li 0.0000 0.0000 0.0000  5 Ge 2.70-2.84, 5 V 2.71-2.77
V 0.0000 0.0000 0.3231  5 Ge 2.70-2.84, 5 Li 2.71-2.77
Ge 0.0000 0.0000 0.6615  5 Li 2.70-2.84, 5 V 2.70-2.84


ThZrSc2 | PBE | relaxed

## Properties
The calculation puts the energy above the most stable polymorph in this dataset at 82.0 meV/atom. The total energy comes out at -7.062 eV per atom. As for the energy relative to the elements: 0.10 eV per atom.

a b c (Å): 3.8723 3.8723 6.8596
angles (deg): 90.00 90.00 90.00
Last column: nearest neighbours and their distance in Å.
Space group P4/mmm (No. 123)
Symmetry-distinct sites (fractional):
Th 0.0000 0.0000 0.0000  8 Sc 3.30, 2 Zr 3.43
Zr 0.0000 0.0000 0.5000  8 Sc 3.17, 2 Th 3.43
Sc 0.5000 0.5000 0.2683  4 Zr 3.17, 1 Sc 3.18, 4 Th 3.30


Ac5La2PrTm | PBE | relaxed

## Properties
The total energy comes out at -4.143 eV per atom. As for the energy relative to the elements: 0.26 eV per atom.

a b c (Å): 8.4691 8.4691 20.8490
angles (deg): 90.00 90.00 90.00
Last column: nearest neighbours and their distance in Å.
Space group I4/mcm (No. 140)
Symmetry-distinct sites (fractional):
Ac 0.0000 0.0000 0.0000  4 La 3.36
Ac 0.2298 0.2702 0.1388  1 La 3.40, 1 Tm 3.60, 2 Pr 3.79
La 0.1218 0.3782 0.5000  1 La 2.92
Pr 0.0000 0.0000 0.2500  8 Ac 3.79, 4 Tm 4.23
Tm 0.0000 0.5000 0.2500  8 Ac 3.60-3.98


TeAsIO2 | PBE | relaxed

## Properties
The calculation puts the energy above the most stable polymorph in this dataset at 0.0 meV/atom. The total energy comes out at -3.857 eV per atom. Its formation energy (no corrections) is -5.5 meV/atom.

a b c (Å): 4.0620 4.0620 7.8034
angles (deg): 90.00 90.00 90.00
Last column: nearest neighbours and their distance in Å.
Space group P4/mmm (No. 123)
Symmetry-distinct sites (fractional):
Te 0.0000 0.0000 0.0000  4 O 2.03
As 0.5000 0.5000 0.5000  4 I 2.87
I 0.0000 0.0000 0.5000  4 As 2.87
O 0.0000 0.5000 0.0000  2 Te 2.03


Cs2Ag2H3 | PBE | relaxed

## Properties
The total energy comes out at -2.492 eV per atom.

a b c (Å): 5.3950 4.1425 7.7805
angles (deg): 90.00 95.80 90.00
Last column: nearest neighbours and their distance in Å.
Space group P2/m (No. 10)
Symmetry-distinct sites (fractional):
Cs 0.2327 0.0000 0.3054  6 H 3.22-3.38
Ag 0.2763 0.5000 0.8757  2 H 1.78-1.86
H 0.0000 0.5000 0.0000  2 Ag 1.86
H 0.3089 0.5000 0.6501  1 Ag 1.78